No. 1
DFT (PBE-GGA) results for a geometry-optimized Pm7Rh3 structure.

Summary:
Formation energy, meV/atom: -525

abc: 10.0478 10.0478 6.3386
angles: 90.00 90.00 120.00
With the nearest neighbours (Å) after each atom.
Space group P6_3mc (No. 186)
Unique sites:
1 Pm 0.0801 0.5401 0.0000 (multiplicity 6)  2 Rh 2.86
2 Pm 0.1244 0.2487 0.3048 (multiplicity 6)  3 Rh 2.92-3.02
3 Pm 0.3333 0.6667 0.5209 (multiplicity 2)  3 Rh 2.88
4 Rh 0.1893 0.3786 0.7461 (multiplicity 6)  6 Pm 2.86-3.02

***

No. 2
DFT (PBE-GGA) results for a geometry-optimized BaCa2Zn2Sn2 structure.

Summary:
Formation energy, meV/atom: -455

abc: 4.9359 4.9359 28.8979
angles: 90.00 90.00 120.00
With the nearest neighbours (Å) after each atom.
Space group R-3m (No. 166, hexagonal axes)
Unique sites:
1 Ba 0.0000 0.0000 0.0000 (multiplicity 3)  6 Sn 3.68, 2 Ca 3.96
2 Ca 0.0000 0.0000 0.1371 (multiplicity 6)  3 Zn 2.94, 3 Sn 3.28
3 Zn 0.0000 0.0000 0.4452 (multiplicity 6)  3 Ca 2.94, 3 Sn 2.99, 1 Zn 3.17
4 Sn 0.0000 0.0000 0.2527 (multiplicity 6)  3 Zn 2.99, 4 Ca 3.28-3.34

***

No. 3
DFT (PBE-GGA) results for a geometry-optimized CsTl2SbSe4 structure.

Summary:
Formation energy from raw total energies, eV/f.u.: -3.2

abc: 12.5880 12.6571 8.7721
angles: 90.00 134.16 90.00
With the nearest neighbours (Å) after each atom.
Space group C2/c (No. 15)
Unique sites:
1 Cs 0.0000 0.0000 0.0000 (multiplicity 4)  6 Se 3.41-3.42
2 Tl 0.0000 0.5000 0.0000 (multiplicity 4)  6 Se 2.90-2.93
3 Tl 0.2500 0.2500 0.0000 (multiplicity 4)  6 Se 3.31-3.36
4 Sb 0.2500 0.2500 0.5000 (multiplicity 4)  6 Se 3.00-3.01
5 Se 0.0006 0.2688 0.4758 (multiplicity 8)  1 Tl 2.93, 2 Sb 3.00-3.01
6 Se 0.2100 0.4860 0.4601 (multiplicity 8)  2 Tl 2.90-2.91, 1 Sb 3.01

***

No. 4
DFT (PBE-GGA) results for a geometry-optimized Sm2TmSb2Te2 structure.

Summary:
Formation energy from raw total energies, eV/f.u.: -5.2

abc: 5.6821 5.6821 15.4453
angles: 90.00 90.00 90.00
With the nearest neighbours (Å) after each atom.
Space group I4/mmm (No. 139)
Unique sites:
1 Sm 0.0000 0.0000 0.1146 (multiplicity 4)  1 Te 2.96
2 Tm 0.0000 0.0000 0.5000 (multiplicity 2)  4 Sb 2.84, 2 Te 2.99
3 Sb 0.0000 0.5000 0.0000 (multiplicity 4)  2 Tm 2.84
4 Te 0.0000 0.0000 0.3065 (multiplicity 4)  1 Sm 2.96, 1 Tm 2.99

***

No. 5
DFT (PBE-GGA) results for a geometry-optimized Y12TmTh7 structure.

Summary:
Formation energy, meV/atom: 175

abc: 14.9239 14.9239 10.2026
angles: 90.00 90.00 120.00
With the nearest neighbours (Å) after each atom.
Space group R-3 (No. 148, hexagonal axes)
Unique sites:
1 Y 0.0403 0.2474 0.0696 (multiplicity 18)  3 Th 3.24-3.51, 2 Y 3.40-3.48
2 Y 0.0437 0.1917 0.7472 (multiplicity 18)  5 Th 3.36-3.66, 3 Y 3.40-3.73, 1 Tm 3.62
3 Tm 0.0000 0.0000 0.5000 (multiplicity 3)  6 Th 3.43, 6 Y 3.62
4 Th 0.0000 0.0000 0.0000 (multiplicity 3)  12 Y 3.50-3.66
5 Th 0.0656 0.2499 0.4268 (multiplicity 18)  6 Y 3.24-3.60, 1 Th 3.38, 1 Tm 3.43

***

No. 6
DFT (PBE-GGA) results for a geometry-optimized La3Ta2N7 structure.

Summary:
Formation energy from raw total energies, eV/f.u.: -12.5

abc: 4.1415 20.9668 3.9278
angles: 90.00 90.00 90.00
With the nearest neighbours (Å) after each atom.
Space group Cmmm (No. 65)
Unique sites:
1 La 0.0000 0.0000 0.0000 (multiplicity 2)  12 N 2.84-3.17
2 La 0.0000 0.1843 0.0000 (multiplicity 4)  6 N 2.54-2.67
3 Ta 0.0000 0.4056 0.5000 (multiplicity 4)  5 N 1.98-2.07
4 N 0.0000 0.0980 0.5000 (multiplicity 4)  2 Ta 2.07
5 N 0.0000 0.2678 0.5000 (multiplicity 4)  2 N 2.20
6 N 0.0000 0.3858 0.0000 (multiplicity 4)  2 Ta 2.01
7 N 0.0000 0.5000 0.5000 (multiplicity 2)  2 Ta 1.98